# 1
A plane-wave DFT calculation with PBE-GGA was carried out for La12Mn3Al4Se28 after structural relaxation.

Computed properties:
- Spin magnetization: 13.00 μB per formula unit
- D(E_F): 0.168 states/eV per atom
- Uncorrected formation energy: -1.5775 eV/atom

Lattice parameters (Å, degrees): 10.589 12.387 12.417 95.87 115.22 115.28
Fractional positions:
La 0.000 0.000 0.000
La 0.002 0.629 0.860
La 0.163 0.242 0.758
La 0.180 0.884 0.637
La 0.220 0.694 0.297
La 0.448 0.666 0.819
La 0.508 0.497 0.497
La 0.521 0.140 0.369
La 0.654 0.734 0.256
La 0.659 0.365 0.108
La 0.717 0.197 0.802
La 0.960 0.187 0.325
Mn 0.108 0.962 0.330
Mn 0.365 0.213 0.591
Mn 0.842 0.694 0.066
Al 0.166 0.353 0.057
Al 0.422 0.932 0.981
Al 0.669 0.852 0.563
Al 0.916 0.440 0.474
Se 0.004 0.443 0.325
Se 0.058 0.046 0.509
Se 0.064 0.400 0.865
Se 0.103 0.622 0.662
Se 0.155 0.905 0.868
Se 0.177 0.887 0.171
Se 0.250 0.192 0.326
Se 0.285 0.235 0.028
Se 0.306 0.389 0.614
Se 0.353 0.534 0.246
Se 0.369 0.738 0.023
Se 0.402 0.022 0.536
Se 0.429 0.702 0.561
Se 0.440 0.195 0.820
Se 0.517 0.931 0.835
Se 0.548 0.542 0.014
Se 0.569 0.900 0.372
Se 0.606 0.120 0.164
Se 0.650 0.411 0.350
Se 0.656 0.360 0.642
Se 0.764 0.714 0.845
Se 0.795 0.738 0.535
Se 0.823 0.912 0.147
Se 0.855 0.041 0.745
Se 0.880 0.249 0.524
Se 0.909 0.518 0.037
Se 0.930 0.210 0.063
Se 0.977 0.738 0.336

***

# 2
A plane-wave DFT calculation with PBE-GGA was carried out for ZrRhI2N after structural relaxation.

Computed properties:
- Spin magnetization: 1.62 μB per formula unit
- Energy relative to the lowest polymorph listed for this composition: 77 meV/atom
- D(E_F): 0.941 states/eV per atom
- Uncorrected formation energy: 0.4771 eV/atom

Lattice parameters (Å, degrees): 5.653 5.653 3.680 90.00 90.00 90.00
Fractional positions:
Zr 0.000 0.000 0.000
Rh 0.500 0.500 0.500
I 0.000 0.500 0.500
I 0.500 0.000 0.500
N 0.500 0.500 0.000

***

# 3
A plane-wave DFT calculation with PBE-GGA was carried out for Li2Ac3Hg3 after structural relaxation.

Computed properties:
- Energy of formation: -0.35 eV per atom
- Spin magnetization: 0.00 μB per formula unit
- Energy relative to the lowest polymorph listed for this composition: 12 meV/atom
- D(E_F): 0.834 states/eV per atom

Lattice parameters (Å, degrees): 8.778 17.123 6.237 90.00 90.00 90.00
Fractional positions:
Li 0.114 0.098 0.121
Li 0.114 0.402 0.121
Li 0.386 0.598 0.621
Li 0.386 0.902 0.621
Li 0.614 0.098 0.379
Li 0.614 0.402 0.379
Li 0.886 0.598 0.879
Li 0.886 0.902 0.879
Ac 0.040 0.604 0.371
Ac 0.040 0.896 0.371
Ac 0.182 0.750 0.894
Ac 0.318 0.250 0.394
Ac 0.460 0.104 0.871
Ac 0.460 0.396 0.871
Ac 0.540 0.604 0.129
Ac 0.540 0.896 0.129
Ac 0.682 0.750 0.606
Ac 0.818 0.250 0.106
Ac 0.960 0.104 0.629
Ac 0.960 0.396 0.629
Hg 0.174 0.250 0.901
Hg 0.180 0.543 0.897
Hg 0.180 0.957 0.897
Hg 0.320 0.043 0.397
Hg 0.320 0.457 0.397
Hg 0.326 0.750 0.401
Hg 0.674 0.250 0.599
Hg 0.680 0.543 0.603
Hg 0.680 0.957 0.603
Hg 0.820 0.043 0.103
Hg 0.820 0.457 0.103
Hg 0.826 0.750 0.099

***

# 4
A plane-wave DFT calculation with PBE-GGA was carried out for K5TeO6 after structural relaxation.

Computed properties:
- Spin magnetization: 1.09 μB per formula unit
- D(E_F): 0.824 states/eV per atom
- Uncorrected formation energy: -1.3597 eV/atom

Lattice parameters (Å, degrees): 6.513 6.513 6.405 100.56 100.56 119.23
Fractional positions:
K 0.000 0.000 0.000
K 0.167 0.833 0.500
K 0.335 0.665 0.000
K 0.665 0.335 0.000
K 0.833 0.167 0.500
Te 0.500 0.500 0.500
O 0.188 0.437 0.304
O 0.318 0.318 0.686
O 0.437 0.188 0.304
O 0.563 0.812 0.696
O 0.682 0.682 0.314
O 0.812 0.563 0.696

***

# 5
A plane-wave DFT calculation with PBE-GGA was carried out for K2TmBe2O4 after structural relaxation.

Computed properties:
- Spin magnetization: 0.00 μB per formula unit
- D(E_F): 0.111 states/eV per atom
- Uncorrected formation energy: -2.2882 eV/atom

Lattice parameters (Å, degrees): 6.198 6.198 9.457 99.93 99.93 30.90
Fractional positions:
K 0.153 0.153 0.187
K 0.847 0.847 0.813
Tm 0.000 0.000 0.500
Be 0.315 0.315 0.521
Be 0.685 0.685 0.479
O 0.194 0.194 0.569
O 0.436 0.436 0.619
O 0.564 0.564 0.381
O 0.806 0.806 0.431

***

# 6
A plane-wave DFT calculation with PBE-GGA was carried out for Sm2Er2Se2S3 after structural relaxation.

Computed properties:
- Spin magnetization: 0.00 μB per formula unit
- D(E_F): 0.533 states/eV per atom
- Uncorrected formation energy: -1.6627 eV/atom

Lattice parameters (Å, degrees): 8.365 8.365 8.365 142.78 142.78 53.65
Fractional positions:
Sm 0.200 0.200 0.000
Sm 0.800 0.800 0.000
Er 0.000 0.500 0.500
Er 0.500 0.000 0.500
Se 0.398 0.398 0.000
Se 0.602 0.602 0.000
S 0.000 0.000 0.000
S 0.250 0.750 0.500
S 0.750 0.250 0.500

***

# 7
A plane-wave DFT calculation with PBE-GGA was carried out for TiBe2TlF8 after structural relaxation.

Computed properties:
- Spin magnetization: 1.00 μB per formula unit
- D(E_F): 0.556 states/eV per atom
- Uncorrected formation energy: -3.0394 eV/atom

Lattice parameters (Å, degrees): 8.711 8.711 8.711 33.12 33.12 33.12
Fractional positions:
Ti 0.000 0.000 0.000
Be 0.262 0.262 0.262
Be 0.738 0.738 0.738
Tl 0.500 0.500 0.500
F 0.014 0.238 0.603
F 0.201 0.201 0.201
F 0.238 0.603 0.014
F 0.397 0.986 0.762
F 0.603 0.014 0.238
F 0.762 0.397 0.986
F 0.799 0.799 0.799
F 0.986 0.762 0.397

***

# 8
A plane-wave DFT calculation with PBE-GGA was carried out for LuZn3 after structural relaxation.

Computed properties:
- Energy of formation: -0.34 eV per atom
- Spin magnetization: 0.00 μB per formula unit
- D(E_F): 0.345 states/eV per atom

Lattice parameters (Å, degrees): 6.675 4.276 9.964 90.00 90.00 90.00
Fractional positions:
Lu 0.221 0.250 0.165
Lu 0.279 0.750 0.665
Lu 0.721 0.250 0.335
Lu 0.779 0.750 0.835
Zn 0.039 0.750 0.397
Zn 0.079 0.250 0.852
Zn 0.216 0.750 0.959
Zn 0.284 0.250 0.459
Zn 0.421 0.750 0.352
Zn 0.461 0.250 0.897
Zn 0.539 0.750 0.103
Zn 0.579 0.250 0.648
Zn 0.716 0.750 0.541
Zn 0.784 0.250 0.041
Zn 0.921 0.750 0.148
Zn 0.961 0.250 0.603